No. 1
Pm2Nd2Ga3: optimized geometry, GGA-PBE.

```
Pm2Nd2Ga3
1.0
4.131 0.000 0.000
-2.065 6.937 0.238
0.000 -3.395 6.666
Pm Nd Ga
2 2 3
Cartesian
2.065 4.689 1.673 Pm
0.000 -1.147 5.231 Pm
2.065 2.083 4.980 Nd
0.000 1.459 1.924 Nd
2.065 0.000 0.000 Ga
2.065 -0.435 3.068 Ga
0.000 3.978 3.836 Ga
```

Results
**ΔH_f (0 K)**: -419 meV/atom
**Energy**: -4.4361 eV/atom


No. 2
Y2MnCuBi: optimized geometry, GGA-PBE.

```
Y2MnCuBi
1.0
5.807 0.000 0.000
0.000 4.970 0.000
0.000 0.000 5.807
Y Mn Bi Cu
2 1 1 1
Cartesian
0.000 0.000 2.903 Y
2.903 0.000 0.000 Y
0.000 2.485 0.000 Mn
0.000 0.000 0.000 Bi
2.903 2.485 2.903 Cu
```

Results
**ΔH_f (0 K)**: 793 meV/atom
**Energy**: -5.2222 eV/atom


No. 3
LaPrTh2: optimized geometry, GGA-PBE.

```
LaPrTh2
1.0
5.063 0.000 -0.610
0.000 5.127 0.000
-3.802 0.000 10.979
La Pr Th
2 2 4
Cartesian
2.982 3.845 3.433 La
-1.721 1.282 6.936 La
0.450 1.282 3.725 Pr
0.812 3.845 6.644 Pr
2.679 1.282 0.898 Th
-1.417 3.845 9.471 Th
0.144 3.845 1.188 Th
1.117 1.282 9.182 Th
```

Results
**ΔH_f (0 K)**: 26 meV/atom
**ΔE to the lowest computed polymorph**: 0.0000 eV per atom
**Energy**: -6.1111 eV/atom